# 1
Computed, not measured: an optimized crystal structure of ZrScTl2 at the GGA-PBEsol level of DFT.

Calculated values
Magnetic moment in μB/atom: 0.00
ρ in g/cm3: 9.824
Energy relative to the elements in eV per atom: -0.0735
Total energy in eV per atom: -5.31

Unit cell a=3.4608 b=4.3339 c=6.1410 alpha=90.00 beta=90.00 gamma=90.00
Sites, in units of the cell vectors:
Sc 0.5000 0.5000 0.7546
Tl 0.0000 0.0000 0.9846
Zr 0.0000 0.0000 0.4950
Tl 0.5000 0.5000 0.2658

=====

# 2
Computed, not measured: an optimized crystal structure of SrAl2ReGe at the GGA-PBEsol level of DFT.

Calculated values
Magnetic moment in μB/atom: 0.11
ρ in g/cm3: 5.857
Energy relative to the elements in eV per atom: 0.7466
Total energy in eV per atom: -4.91

Unit cell a=4.7274 b=4.9004 c=4.9004 alpha=90.00 beta=90.00 gamma=90.00
Sites, in units of the cell vectors:
Re 0.5000 0.0000 0.0000
Sr 0.5000 0.5000 0.5000
Ge 0.0000 0.0000 0.0000
Al 0.0000 0.0000 0.5000
Al 0.0000 0.5000 0.0000

=====

# 3
Computed, not measured: an optimized crystal structure of FeBrCl2 at the GGA-PBEsol level of DFT.

Calculated values
Energy above the lowest structure with this stoichiometry in eV/f.u.: 0.00
Magnetic moment in μB/atom: 1.19
Uncorrected formation energy in meV/atom: -530
ρ in g/cm3: 3.103
Total energy in eV per atom: -4.24

Unit cell a=3.3336 b=6.3478 c=6.3339 alpha=124.40 beta=90.00 gamma=90.00
Sites, in units of the cell vectors:
Cl 0.0000 0.0601 0.0457
Cl 0.5000 0.6579 0.3772
Br 0.5000 0.3649 0.6684
Fe 0.0000 0.4171 0.4087

=====

# 4
Computed, not measured: an optimized crystal structure of Sr2Hg2Sb at the GGA-PBEsol level of DFT.

Calculated values
Magnetic moment in μB/atom: 0.00
Uncorrected formation energy in meV/atom: -394
ρ in g/cm3: 6.986
Total energy in eV per atom: -2.27

Unit cell a=6.1927 b=6.1562 c=6.1927 alpha=59.80 beta=90.00 gamma=120.20
Sites, in units of the cell vectors:
Sr 0.7500 0.5000 0.7500
Sr 0.2500 0.5000 0.2500
Hg 0.3440 0.6881 0.6560
Sb 0.0000 0.0000 0.0000
Hg 0.6560 0.3119 0.3440

=====

# 5
Computed, not measured: an optimized crystal structure of Si2AgSb at the GGA-PBEsol level of DFT.

Calculated values
Magnetic moment in μB/atom: 0.00
Uncorrected formation energy in meV/atom: 264
ρ in g/cm3: 6.334
Total energy in eV per atom: -4.58

Unit cell a=2.9272 b=3.4212 c=7.4823 alpha=90.00 beta=89.99 gamma=90.00
Sites, in units of the cell vectors:
Si 0.2502 0.0000 0.9359
Si 0.7503 0.5000 0.7708
Ag 0.2500 0.0000 0.5515
Sb 0.2494 0.5000 0.2418

=====

# 6
Computed, not measured: an optimized crystal structure of Ce3Si2Ni6 at the GGA-PBEsol level of DFT.

Calculated values
Magnetic moment in μB/atom: 0.00
Uncorrected formation energy in meV/atom: -594
ρ in g/cm3: 8.505
Total energy in eV per atom: -6.80

Unit cell a=7.4910 b=7.4910 c=7.4910 alpha=109.47 beta=109.47 gamma=109.47
Sites, in units of the cell vectors:
Ni 0.0000 0.6595 0.3405
Ni 0.6595 0.6595 0.3191
Si 0.0000 0.5000 0.0000
Ni 0.6595 0.0000 0.3405
Ni 0.6595 0.3405 0.0000
Ni 0.6809 0.3405 0.3405
Ni 0.3405 0.0000 0.6595
Ce 0.7240 0.0000 0.7240
Ni 0.3191 0.6595 0.6595
Ce 0.0000 0.2760 0.2760
Si 0.0000 0.0000 0.5000
Ce 0.2760 0.0000 0.2760
Ni 0.0000 0.3405 0.6595
Ni 0.3405 0.6809 0.3405
Si 0.5000 0.0000 0.0000
Si 0.5000 0.5000 0.5000
Ce 0.0000 0.7240 0.7240
Ni 0.6595 0.3191 0.6595
Ce 0.2760 0.2760 0.0000
Ni 0.3405 0.3405 0.6809
Ni 0.3405 0.6595 0.0000
Ce 0.7240 0.7240 0.0000

=====

# 7
Computed, not measured: an optimized crystal structure of Te2PbCl at the GGA-PBEsol level of DFT.

Calculated values
Energy above the lowest structure with this stoichiometry in eV/f.u.: 0.00
Magnetic moment in μB/atom: 0.00
Uncorrected formation energy in meV/atom: -291
ρ in g/cm3: 6.133
Total energy in eV per atom: -3.56

Unit cell a=4.2509 b=4.2509 c=7.4600 alpha=90.00 beta=90.00 gamma=90.00
Sites, in units of the cell vectors:
Cl 0.0000 0.0000 0.6436
Pb 0.5000 0.5000 0.6650
Te 0.5000 0.5000 0.0705
Te 0.0000 0.0000 0.1210

=====

# 8
Computed, not measured: an optimized crystal structure of CsHgBrCl2 at the GGA-PBEsol level of DFT.

Calculated values
Magnetic moment in μB/atom: 0.00
Uncorrected formation energy in meV/atom: -1110
ρ in g/cm3: 5.222
Total energy in eV per atom: -2.59

Unit cell a=5.3022 b=5.3022 c=5.4781 alpha=90.00 beta=90.00 gamma=90.00
Sites, in units of the cell vectors:
Cl 0.5000 0.0000 0.5000
Cs 0.0000 0.0000 0.0000
Cl 0.0000 0.5000 0.5000
Br 0.5000 0.5000 0.0000
Hg 0.5000 0.5000 0.5000

=====

# 9
Computed, not measured: an optimized crystal structure of KIrAu at the GGA-PBEsol level of DFT.

Calculated values
Magnetic moment in μB/atom: 0.00
ρ in g/cm3: 13.097
Energy relative to the elements in eV per atom: 0.6076
Total energy in eV per atom: -4.35

Unit cell a=2.7935 b=2.7935 c=8.0349 alpha=90.00 beta=90.00 gamma=120.00
Sites, in units of the cell vectors:
Au 0.0000 0.0000 0.9833
K 0.6667 0.3333 0.3389
Ir 0.3333 0.6667 0.6778

=====

# 10
Computed, not measured: an optimized crystal structure of ScWCl2 at the GGA-PBEsol level of DFT.

Calculated values
Energy above the lowest structure with this stoichiometry in eV/f.u.: 0.58
Magnetic moment in μB/atom: 0.00
Uncorrected formation energy in meV/atom: 27
ρ in g/cm3: 7.081
Total energy in eV per atom: -6.08

Unit cell a=3.0479 b=3.0479 c=8.9114 alpha=80.15 beta=80.15 gamma=60.00
Sites, in units of the cell vectors:
Cl 0.0978 0.0978 0.7065
W 0.5000 0.5000 0.5000
Sc 0.0000 0.0000 0.0000
Cl 0.9022 0.9022 0.2935

=====

# 11
Computed, not measured: an optimized crystal structure of Ta2RhAu at the GGA-PBEsol level of DFT.

Calculated values
Magnetic moment in μB/atom: 0.00
ρ in g/cm3: 16.939
Energy relative to the elements in eV per atom: -0.1172
Total energy in eV per atom: -9.41

Unit cell a=3.9500 b=3.9500 c=5.0088 alpha=113.22 beta=113.22 gamma=90.00
Sites, in units of the cell vectors:
Rh 0.2500 0.7500 0.5000
Ta 0.7500 0.2500 0.5000
Au 0.5000 0.5000 0.0000
Ta 0.0000 0.0000 0.0000

=====

# 12
Computed, not measured: an optimized crystal structure of Ti3Te4 at the GGA-PBEsol level of DFT.

Calculated values
Magnetic moment in μB/atom: 0.00
Uncorrected formation energy in meV/atom: -758
ρ in g/cm3: 6.767
Total energy in eV per atom: -6.34

Unit cell a=3.7280 b=6.9591 c=7.3085 alpha=117.87 beta=104.78 gamma=90.00
Sites, in units of the cell vectors:
Ti 0.7523 0.7036 0.5047
Te 0.3649 0.0445 0.7299
Ti 0.2477 0.2964 0.4953
Ti 0.0000 0.0000 0.0000
Te 0.8954 0.5524 0.7908
Te 0.1046 0.4476 0.2092
Te 0.6351 0.9555 0.2701

=====

Look up the ρ of the fifth one.
6.334 g/cm3

=====

Repeat the eighth record exactly.
Computed, not measured: an optimized crystal structure of CsHgBrCl2 at the GGA-PBEsol level of DFT.

Calculated values
Magnetic moment in μB/atom: 0.00
Uncorrected formation energy in meV/atom: -1110
ρ in g/cm3: 5.222
Total energy in eV per atom: -2.59

Unit cell a=5.3022 b=5.3022 c=5.4781 alpha=90.00 beta=90.00 gamma=90.00
Sites, in units of the cell vectors:
Cl 0.5000 0.0000 0.5000
Cs 0.0000 0.0000 0.0000
Cl 0.0000 0.5000 0.5000
Br 0.5000 0.5000 0.0000
Hg 0.5000 0.5000 0.5000